Compound: PIrS2F
Source: Alexandria
Functional: PBE-GGA
Structure: relaxed

a = 4.6255 Å, b = 4.6255 Å, c = 3.6844 Å
α = 90.00°, β = 90.00°, γ = 90.00°
Last column: nearest neighbours and their distance in Å.
Sites, in units of the cell vectors:
S (0.5000, 0.0000, 0.0000)  2 F 2.31
S (0.0000, 0.5000, 0.0000)  2 F 2.31
Ir (0.5000, 0.5000, 0.5000)  8 S 2.96, 4 P 3.27
F (0.0000, 0.0000, 0.0000)  2 P 1.84
P (0.0000, 0.0000, 0.5000)  2 F 1.84

Summary:
E_form (uncorrected): 1.15 eV per atom
DOS(E_F): 4.40 states/eV per cell
Distance to the lowest polymorph of the same formula: 622 meV/atom